(1)
Below is a relaxed structure of Sm3Dy5Ho, with properties calculated at the PBE level.

Lattice parameters (Å, degrees): 6.7018 12.0989 11.3935 135.74 90.00 106.08
Closest atoms and distances in Å follow each position.
Positions (direct):
Dy 0.0567 0.3512 0.4801  1 Dy 3.06, 2 Sm 3.35-3.37
Dy 0.9433 0.6488 0.5199  1 Dy 3.06, 2 Sm 3.35-3.37
Dy 0.3965 0.7854 0.8305  5 Dy 3.33-3.65, 4 Sm 3.48-3.72, 1 Ho 3.71
Dy 0.2945 0.3512 0.9801  1 Dy 3.06, 2 Sm 3.35-3.37
Dy 0.6035 0.2146 0.1695  5 Dy 3.33-3.65, 4 Sm 3.48-3.72, 1 Ho 3.71
Dy 0.6813 0.0000 0.2500  1 Ho 3.05, 2 Dy 3.06
Dy 0.3890 0.7854 0.3305  5 Dy 3.33-3.65, 4 Sm 3.48-3.72, 1 Ho 3.71
Dy 0.7055 0.6488 0.0199  1 Dy 3.06, 2 Sm 3.35-3.37
Dy 0.6110 0.2146 0.6695  5 Dy 3.33-3.65, 4 Sm 3.48-3.72, 1 Ho 3.71
Dy 0.3187 0.0000 0.7500  1 Ho 3.05, 2 Dy 3.06
Sm 0.0000 0.0000 0.0000  2 Ho 3.23, 2 Dy 3.56
Sm 0.0000 0.0000 0.5000  2 Ho 3.23, 2 Dy 3.56
Sm 0.1394 0.5251 0.8812  7 Dy 3.35-3.59, 1 Sm 3.59
Sm 0.8606 0.4749 0.1188  7 Dy 3.35-3.59, 1 Sm 3.59
Sm 0.3858 0.5251 0.3812  7 Dy 3.35-3.59, 1 Sm 3.59
Sm 0.6142 0.4749 0.6188  7 Dy 3.35-3.59, 1 Sm 3.59
Ho 0.7731 0.0000 0.7500  1 Dy 3.05, 2 Sm 3.23
Ho 0.2269 0.0000 0.2500  1 Dy 3.05, 2 Sm 3.23

Results
DFT formation energy   166 meV per atom
Total moment   0.000 Bohr magnetons per cell
Crystal system   monoclinic
Distance to the lowest polymorph of the same formula   0.0000 eV per atom
SG   No. 15


(2)
Below is a relaxed structure of AsPHBr2, with properties calculated at the PBE level.

Lattice parameters (Å, degrees): 5.2580 5.2580 4.9127 90.00 90.00 90.00
Closest atoms and distances in Å follow each position.
Positions (direct):
Br 0.0000 0.5000 0.0000  2 P 2.63
Br 0.5000 0.0000 0.0000  2 P 2.63
As 0.0000 0.0000 0.5000  2 P 2.46
H 0.5000 0.5000 0.5000  8 Br 3.60, 4 As 3.72
P 0.0000 0.0000 0.0000  2 As 2.46, 4 Br 2.63

Results
Total moment   2.653 Bohr magnetons per cell
Crystal system   tetragonal
Distance to the lowest polymorph of the same formula   0.0000 eV per atom
SG   No. 123


(3)
Below is a relaxed structure of Ba6Tl2Ni, with properties calculated at the PBE level.

Lattice parameters (Å, degrees): 7.7444 9.6547 11.1620 90.00 90.00 99.63
Closest atoms and distances in Å follow each position.
Positions (direct):
Tl 0.3952 0.1774 0.0828  8 Ba 3.75-3.89
Tl 0.6048 0.8226 0.9172  8 Ba 3.75-3.89
Tl 0.1048 0.3226 0.5828  8 Ba 3.75-3.89
Tl 0.8952 0.6774 0.4172  8 Ba 3.75-3.89
Ba 0.6406 0.9303 0.2459  1 Ni 3.15
Ba 0.3545 0.6865 0.5398  1 Ni 3.08
Ba 0.8594 0.5697 0.7459  1 Ni 3.15
Ba 0.6755 0.5346 0.1298  1 Ni 2.97
Ba 0.1755 0.0346 0.3702  1 Ni 2.97
Ba 0.8545 0.1865 0.9602  1 Ni 3.08
Ba 0.3594 0.0697 0.7541  1 Ni 3.15
Ba 0.6455 0.3135 0.4602  1 Ni 3.08
Ba 0.1455 0.8135 0.0398  1 Ni 3.08
Ba 0.3245 0.4654 0.8702  1 Ni 2.97
Ba 0.8245 0.9654 0.6298  1 Ni 2.97
Ba 0.1406 0.4303 0.2541  1 Ni 3.15
Ni 0.5000 0.0000 0.5000  6 Ba 2.97-3.15
Ni 0.0000 0.5000 0.0000  6 Ba 2.97-3.15

Results
DFT formation energy   -152 meV per atom
Total moment   0.000 Bohr magnetons per cell
Crystal system   monoclinic
SG   No. 14


(4)
Below is a relaxed structure of YCoBr2, with properties calculated at the PBE level.

Lattice parameters (Å, degrees): 3.6495 3.6495 6.5575 90.00 90.00 90.00
Closest atoms and distances in Å follow each position.
Positions (direct):
Co 0.5000 0.5000 0.2500  8 Br 3.07, 2 Y 3.28
Br 0.0000 0.0000 0.9951  4 Y 3.04, 4 Co 3.07, 2 Br 3.21-3.34
Br 0.0000 0.0000 0.5049  4 Y 3.04, 4 Co 3.07, 2 Br 3.21-3.34
Y 0.5000 0.5000 0.7500  8 Br 3.04, 2 Co 3.28

Results
Formation energy (no corrections)   -185 meV per atom
Total moment   2.053 Bohr magnetons per cell
Crystal system   tetragonal
Distance to the lowest polymorph of the same formula   0.5610 eV per atom
SG   No. 123


(5)
Below is a relaxed structure of Th6ZnTe3Os2, with properties calculated at the PBE level.

Lattice parameters (Å, degrees): 7.3250 7.3250 8.0773 98.70 98.70 119.83
Closest atoms and distances in Å follow each position.
Positions (direct):
Th 0.2858 0.2858 0.7957  2 Os 2.86, 1 Zn 3.04
Th 0.5766 0.9302 0.7914  2 Os 2.86, 1 Zn 3.05
Th 0.7142 0.7142 0.2043  2 Os 2.86, 1 Zn 3.04
Th 0.9302 0.5766 0.7914  2 Os 2.86, 1 Zn 3.05
Th 0.4234 0.0698 0.2086  2 Os 2.86, 1 Zn 3.05
Th 0.0698 0.4234 0.2086  2 Os 2.86, 1 Zn 3.05
Os 0.3322 0.6678 0.0000  6 Th 2.86
Os 0.6678 0.3322 0.0000  6 Th 2.86
Zn 0.0000 0.0000 0.0000  6 Th 3.04-3.05
Te 0.1603 0.8397 0.5000  6 Th 3.26-3.38
Te 0.5000 0.5000 0.5000  6 Th 3.23-3.37
Te 0.8397 0.1603 0.5000  6 Th 3.26-3.38

Results
Formation energy (no corrections)   -750 meV per atom
Total moment   0.000 Bohr magnetons per cell
Crystal system   monoclinic
SG   No. 12


(6)
Below is a relaxed structure of CaYHg4, with properties calculated at the PBE level.

Lattice parameters (Å, degrees): 4.9548 4.9548 8.6761 73.48 73.48 120.15
Closest atoms and distances in Å follow each position.
Positions (direct):
Y 0.5013 0.4973 0.9981  12 Hg 3.31, 2 Ca 3.56
Ca 0.0013 0.9973 0.4981  12 Hg 3.43-3.44, 2 Y 3.56
Hg 0.4017 0.0649 0.7643  3 Hg 2.86
Hg 0.9337 0.5969 0.2320  3 Hg 2.86
Hg 0.0689 0.3976 0.7644  3 Hg 2.86
Hg 0.6010 0.9297 0.2319  3 Hg 2.86

Results
DFT formation energy   -428 meV per atom
Total moment   0.000 Bohr magnetons per cell
Crystal system   orthorhombic
Distance to the lowest polymorph of the same formula   0.0000 eV per atom
SG   No. 65